Cs2VSnW | the Alexandria database | PBE | relaxed; energy of formation = 1.796 eV per atom; DOS at the Fermi energy = 8.9 states/eV per cell; electronic total energy = -18.80 eV per formula unit
1.0
-1.5124 6.4089 3.4145
-4.2156 0.6732 -3.1307
-4.2243 -3.6134 4.9111
W Cs V Sn
1 2 1 1
Direct
0.0000 0.5000 0.0000
0.5000 0.0000 0.0000
0.0000 0.0000 0.5000
0.5000 0.5000 0.5000
0.0000 0.0000 0.0000